[1]
The following is a PBE-GGA calculation of crystalline LiPrBiH at its relaxed geometry, from Alexandria.

Calculated values
total DFT energy (no corrections) = -4.196 eV/atom
symmetry = P4/nmm, No. 129

a = 4.379 Å, b = 4.379 Å, c = 8.628 Å
α = 90.00°, β = 90.00°, γ = 90.00°
Element x y z (fractional)
Li 0.000 0.000 0.500
Li 0.500 0.500 0.500
Pr 0.000 0.500 0.875
Pr 0.500 0.000 0.125
Bi 0.500 0.000 0.714
Bi 0.000 0.500 0.286
H 0.500 0.500 0.000
H 0.000 0.000 0.000

---

[2]
The following is a PBE-GGA calculation of crystalline LiBiHRh2 at its relaxed geometry, from Alexandria.

Calculated values
total DFT energy (no corrections) = -5.056 eV/atom
symmetry = P4/mmm, No. 123

a = 4.102 Å, b = 4.102 Å, c = 3.928 Å
α = 90.00°, β = 90.00°, γ = 90.00°
Element x y z (fractional)
H 0.000 0.000 0.000
Rh 0.000 0.500 0.000
Rh 0.500 0.000 0.000
Bi 0.500 0.500 0.500
Li 0.000 0.000 0.500

---

Repeat the second record exactly.
The following is a PBE-GGA calculation of crystalline LiBiHRh2 at its relaxed geometry, from Alexandria.

Calculated values
total DFT energy (no corrections) = -5.056 eV/atom
symmetry = P4/mmm, No. 123

a = 4.102 Å, b = 4.102 Å, c = 3.928 Å
α = 90.00°, β = 90.00°, γ = 90.00°
Element x y z (fractional)
H 0.000 0.000 0.000
Rh 0.000 0.500 0.000
Rh 0.500 0.000 0.000
Bi 0.500 0.500 0.500
Li 0.000 0.000 0.500

---

The lowest total DFT energy (no corrections) belongs to which entry? LiBiHRh2

---

Which of these has the lowest total DFT energy (no corrections)? LiBiHRh2